ScCdSe | meta-GGA SCAN | PBEsol geometry

Lattice parameters (Å, degrees): 6.5771 6.5771 6.5771 90.00 90.00 90.00
With the nearest neighbours (Å) after each atom.
Space group F-43m (No. 216)
One atom of each set of equivalent atoms:
1 Sc 0.0000 0.0000 0.0000 [4 per cell]  4 Se 2.85, 4 Cd 2.85
2 Cd 0.2500 0.2500 0.7500 [4 per cell]  4 Sc 2.85
3 Se 0.2500 0.2500 0.2500 [4 per cell]  4 Sc 2.85

Results
density = 5.52 g/cm3
uncorrected formation energy = -1.4 eV per formula unit
E_tot = -22.05 eV/atom